Record 1
Below is crystalline MgZrHg at its relaxed geometry, with properties calculated at the GGA-PBE level.

## Properties
For the mass density, the calculation gives 7.99 g/cm3. The formation energy comes out at -40.9 kJ/mol of formula units. The value obtained for the density of states at the Fermi level is 0.5159 states/eV per atom. The total energy is -3.623 eV per atom. The crystal system is tetragonal.

Unit cell a=3.484 b=3.484 c=10.818 alpha=90.00 beta=90.00 gamma=90.00
Positions (direct):
Mg: 0.250 0.250 0.090
Mg: 0.750 0.750 0.910
Zr: 0.250 0.250 0.408
Zr: 0.750 0.750 0.592
Hg: 0.250 0.250 0.764
Hg: 0.750 0.750 0.236

Record 2
Below is crystalline MgZrHg at its relaxed geometry, with properties calculated at the GGA-PBE level.

## Properties
For the mass density, the calculation gives 7.24 g/cm3. The formation energy comes out at 7.4 kJ/mol of formula units. The value obtained for the density of states at the Fermi level is 0.1536 states/eV per atom. The total energy is -3.456 eV per atom. The crystal system is cubic.

Unit cell a=4.680 b=4.680 c=4.680 alpha=60.00 beta=60.00 gamma=60.00
Positions (direct):
Mg: 0.000 0.000 0.000
Zr: 0.500 0.500 0.500
Hg: 0.750 0.750 0.750

Record 3
Below is crystalline MgZr2Hg at its relaxed geometry, with properties calculated at the GGA-PBE level.

## Properties
The value obtained for the distance to the lowest polymorph of the same formula is 0.062 eV per atom. For the mass density, the calculation gives 7.81 g/cm3. The formation energy comes out at -34.9 kJ/mol of formula units. The value obtained for the density of states at the Fermi level is 0.7583 states/eV per atom. The total energy is -4.839 eV per atom. The crystal system is monoclinic.

Unit cell a=3.325 b=4.370 c=5.964 alpha=90.00 beta=90.24 gamma=90.00
Positions (direct):
Mg: 0.000 0.000 0.000
Zr: 0.498 0.500 0.747
Zr: 0.502 0.500 0.253
Hg: 0.000 0.000 0.500

Record 4
Below is crystalline MgZr2Hg at its relaxed geometry, with properties calculated at the GGA-PBE level.

## Properties
The value obtained for the distance to the lowest polymorph of the same formula is 0.113 eV per atom. For the mass density, the calculation gives 7.69 g/cm3. The formation energy comes out at -14.9 kJ/mol of formula units. The value obtained for the density of states at the Fermi level is 1.1991 states/eV per atom. The total energy is -4.787 eV per atom. The crystal system is tetragonal.

Unit cell a=3.195 b=3.195 c=8.611 alpha=90.00 beta=90.00 gamma=90.00
Positions (direct):
Mg: 0.000 0.000 0.000
Zr: 0.500 0.500 0.255
Zr: 0.500 0.500 0.745
Hg: 0.000 0.000 0.500

Record 5
Below is crystalline Mn3Hg at its relaxed geometry, with properties calculated at the GGA-PBE level.

## Properties
For the mass density, the calculation gives 9.26 g/cm3. The formation energy comes out at 195.0 kJ/mol of formula units. The value obtained for the density of states at the Fermi level is 1.0643 states/eV per atom. The total energy is -6.447 eV per atom. The crystal system is orthorhombic.

Unit cell a=4.862 b=4.862 c=2.919 alpha=90.00 beta=90.00 gamma=108.22
Positions (direct):
Mn: 0.000 0.000 0.000
Mn: 0.000 0.500 0.500
Mn: 0.500 0.000 0.500
Hg: 0.500 0.500 0.000

Record 6
Below is crystalline Mn2Hg at its relaxed geometry, with properties calculated at the GGA-PBE level.

## Properties
For the mass density, the calculation gives 9.96 g/cm3. The formation energy comes out at 142.7 kJ/mol of formula units. The value obtained for the density of states at the Fermi level is 0.9238 states/eV per atom. The total energy is -5.721 eV per atom. The crystal system is orthorhombic.

Unit cell a=4.600 b=7.801 c=7.801 alpha=21.70 beta=90.00 gamma=90.00
Positions (direct):
Mn: 0.000 0.000 0.000
Mn: 0.000 0.324 0.324
Mn: 0.000 0.672 0.672
Mn: 0.500 0.222 0.222
Hg: 0.500 0.565 0.565
Hg: 0.500 0.884 0.884

Record 7
Below is crystalline Mn2Hg at its relaxed geometry, with properties calculated at the GGA-PBE level.

## Properties
For the mass density, the calculation gives 8.04 g/cm3. The formation energy comes out at 234.1 kJ/mol of formula units. The value obtained for the density of states at the Fermi level is 0.9151 states/eV per atom. The total energy is -5.405 eV per atom. The crystal system is tetragonal.

Unit cell a=4.464 b=4.464 c=3.219 alpha=90.00 beta=90.00 gamma=90.00
Positions (direct):
Mn: 0.000 0.500 0.000
Mn: 0.500 0.000 0.000
Hg: 0.000 0.000 0.500

Record 8
Below is crystalline Mn2Hg at its relaxed geometry, with properties calculated at the GGA-PBE level.

## Properties
For the mass density, the calculation gives 10.06 g/cm3. The formation energy comes out at 147.7 kJ/mol of formula units. The value obtained for the density of states at the Fermi level is 1.1246 states/eV per atom. The total energy is -5.703 eV per atom. The crystal system is hexagonal.

Unit cell a=5.031 b=5.031 c=4.675 alpha=90.00 beta=90.00 gamma=120.00
Positions (direct):
Mn: 0.000 0.000 0.000
Mn: 0.000 0.317 0.500
Mn: 0.317 0.000 0.500
Mn: 0.683 0.683 0.500
Hg: 0.333 0.667 0.000
Hg: 0.667 0.333 0.000